Record 1
# Sc2UIn

A relaxed structure of Sc2UIn (PBE, the Alexandria database).

Cell lengths 3.169, 3.169, 9.035 Å; angles 90.00, 90.00, 90.00 degrees
Fractional positions:
Sc1 0.000 0.000 0.243
Sc2 0.000 0.000 0.757
U1 0.500 0.500 0.500
In1 0.500 0.500 0.000

## Properties
- D(E_F) (states/eV per cell) = 4.15
- formation enthalpy at 0 K (eV/atom) = -0.07
- magnetization (μB per formula unit) = 2.09
- space-group type = P4/mmm

=====

Record 2
# ScU2In9

A relaxed structure of ScU2In9 (PBE, the Alexandria database).

Cell lengths 4.603, 4.603, 13.770 Å; angles 90.00, 90.00, 90.00 degrees
Fractional positions:
Sc1 0.000 0.000 0.000
U1 0.000 0.000 0.330
U2 0.000 0.000 0.670
In1 0.000 0.500 0.161
In2 0.000 0.500 0.500
In3 0.000 0.500 0.839
In4 0.500 0.000 0.161
In5 0.500 0.000 0.500
In6 0.500 0.000 0.839
In7 0.500 0.500 0.000
In8 0.500 0.500 0.332
In9 0.500 0.500 0.668

## Properties
- D(E_F) (states/eV per cell) = 12.55
- formation enthalpy at 0 K (eV/atom) = -0.10
- magnetization (μB per formula unit) = 5.41
- space-group type = P4/mmm

=====

> Look up the magnetization of the second one.

5.41 μB per formula unit